Entry i
{"formula": "Os2PbSe", "functional": "GGA-PBE", "state": "optimized geometry", "rho_kg_m3": 15839, "total_magnetization_mub_per_fu": 0.00, "dos_at_fermi_per_ev_atom": 0.9403, "lattice_angstrom": [[1.541, 0.890, 8.497], [-1.541, 0.890, 8.497], [0.000, -1.779, 8.497]], "species": ["Os", "Os", "Pb", "Se"], "frac_coords": [[0.241, 0.241, 0.241], [0.759, 0.759, 0.759], [0.000, 0.000, 0.000], [0.500, 0.500, 0.500]]}

***

Entry ii
{"formula": "Os2PbSe", "functional": "GGA-PBE", "state": "optimized geometry", "rho_kg_m3": 15259, "total_magnetization_mub_per_fu": 0.37, "dos_at_fermi_per_ev_atom": 1.8312, "lattice_angstrom": [[0.000, 3.310, 3.310], [3.310, 0.000, 3.310], [3.310, 3.310, 0.000]], "species": ["Os", "Os", "Pb", "Se"], "frac_coords": [[0.000, 0.000, 0.000], [0.250, 0.250, 0.250], [0.500, 0.500, 0.500], [0.750, 0.750, 0.750]]}

***

Of them, entry ii has the lowest stability.